Computed, not measured: a relaxed Te2PdCl6 crystal at the GGA-PBE level of DFT.

```
Te2PdCl6
1.0
8.709 -4.373 0.000
8.709 4.373 0.000
-1.355 0.000 7.321
Te Cl Pd
4 12 2
Direct
0.275 0.935 0.044 Te
0.935 0.275 0.544 Te
0.725 0.065 0.956 Te
0.065 0.725 0.456 Te
0.244 0.914 0.540 Cl
0.331 0.450 0.478 Cl
0.086 0.756 0.960 Cl
0.914 0.244 0.040 Cl
0.083 0.366 0.746 Cl
0.366 0.083 0.246 Cl
0.669 0.550 0.522 Cl
0.450 0.331 0.978 Cl
0.550 0.669 0.022 Cl
0.917 0.634 0.254 Cl
0.756 0.086 0.460 Cl
0.634 0.917 0.754 Cl
0.168 0.832 0.250 Pd
0.832 0.168 0.750 Pd
```

Summary:
ρ, g/cm3: 3.4
Total DFT energy (no corrections), eV per cell: -54.4
Space group: C2/c, No. 15